(1)
Computed, not measured: crystalline CaYCo2 at its relaxed geometry at the GGA-PBEsol level of DFT.

Values from the calculation:
DFT total energy	-5.96	eV/atom
relative energy among the computed polymorphs	0	meV per atom
M_tot	1.6	μB/f.u.
formation energy	0.1510	eV per atom

Structure (CIF):
```
data_CaYCo2
_cell_length_a 3.682
_cell_length_b 4.140
_cell_length_c 11.361
_cell_angle_alpha 90.00
_cell_angle_beta 90.00
_cell_angle_gamma 90.00
_space_group_name_H-M_alt 'I m m 2'
_space_group_IT_number 44
loop_
_space_group_symop_operation_xyz
'x,y,z'
'-x,-y,z'
'-x,y,z'
'x,-y,z'
'x+1/2,y+1/2,z+1/2'
'-x+1/2,-y+1/2,z+1/2'
'-x+1/2,y+1/2,z+1/2'
'x+1/2,-y+1/2,z+1/2'
loop_
_atom_site_label
_atom_site_type_symbol
_atom_site_fract_x
_atom_site_fract_y
_atom_site_fract_z
Ca1 Ca 0.000 0.000 0.000
Y1 Y 0.000 0.500 0.240
Co1 Co 0.000 0.000 0.401
Co2 Co 0.000 0.500 0.805
```

(2)
Computed, not measured: crystalline CaYCo2 at its relaxed geometry at the GGA-PBEsol level of DFT.

Values from the calculation:
DFT total energy	-5.95	eV/atom
relative energy among the computed polymorphs	11	meV per atom
M_tot	1.0	μB/f.u.
formation energy	0.1623	eV per atom

Structure (CIF):
```
data_CaYCo2
_cell_length_a 9.559
_cell_length_b 3.864
_cell_length_c 6.477
_cell_angle_alpha 90.00
_cell_angle_beta 128.17
_cell_angle_gamma 90.00
_space_group_name_H-M_alt 'C 1 2/m 1'
_space_group_IT_number 12
loop_
_space_group_symop_operation_xyz
'x,y,z'
'-x,-y,-z'
'-x,y,-z'
'x,-y,z'
'x+1/2,y+1/2,z'
'-x+1/2,-y+1/2,-z'
'-x+1/2,y+1/2,-z'
'x+1/2,-y+1/2,z'
loop_
_atom_site_label
_atom_site_type_symbol
_atom_site_fract_x
_atom_site_fract_y
_atom_site_fract_z
Ca1 Ca 0.000 0.000 0.000
Y1 Y 0.000 0.500 0.500
Co1 Co 0.250 0.000 0.568
```

(3)
Computed, not measured: crystalline CaYCo2 at its relaxed geometry at the GGA-PBEsol level of DFT.

Values from the calculation:
DFT total energy	-5.87	eV/atom
relative energy among the computed polymorphs	83	meV per atom
M_tot	0.0	μB/f.u.
formation energy	0.2337	eV per atom

Structure (CIF):
```
data_CaYCo2
_cell_length_a 6.553
_cell_length_b 6.553
_cell_length_c 6.553
_cell_angle_alpha 90.00
_cell_angle_beta 90.00
_cell_angle_gamma 90.00
_space_group_name_H-M_alt 'F m -3 m'
_space_group_IT_number 225
_space_group_name_Hall '-F 4 2 3'
loop_
_atom_site_label
_atom_site_type_symbol
_atom_site_fract_x
_atom_site_fract_y
_atom_site_fract_z
Ca1 Ca 0.000 0.000 0.000
Y1 Y 0.000 0.000 0.500
Co1 Co 0.250 0.250 0.250
```

(4)
Computed, not measured: crystalline CaYCo2 at its relaxed geometry at the GGA-PBEsol level of DFT.

Values from the calculation:
DFT total energy	-5.70	eV/atom
relative energy among the computed polymorphs	260	meV per atom
M_tot	1.3	μB/f.u.
formation energy	0.4106	eV per atom

Structure (CIF):
```
data_CaYCo2
_cell_length_a 3.867
_cell_length_b 3.867
_cell_length_c 9.673
_cell_angle_alpha 90.00
_cell_angle_beta 90.00
_cell_angle_gamma 90.00
_space_group_name_H-M_alt 'I -4 m 2'
_space_group_IT_number 119
_space_group_name_Hall 'I -4 -2'
loop_
_atom_site_label
_atom_site_type_symbol
_atom_site_fract_x
_atom_site_fract_y
_atom_site_fract_z
Ca1 Ca 0.000 0.000 0.000
Y1 Y 0.000 0.500 0.750
Co1 Co 0.000 0.000 0.500
Co2 Co 0.000 0.500 0.250
```

Question: The lowest DFT total energy belongs to which entry?
Answer: number 1

Question: Which of these has the lowest relative energy among the computed polymorphs?
Answer: number 1